! PBE YCdCuB, optimized geometry; values from VASP
! Electronic total energy = -15.5 eV/f.u.
&SYSTEM
  ibrav = 0, nat = 4, ntyp = 4
/
ATOMIC_SPECIES
Y 88.91 Y.upf
Cd 112.41 Cd.upf
Cu 63.55 Cu.upf
B 10.81 B.upf
ATOMIC_POSITIONS crystal
Y 0.0000 0.0000 0.0000
Cd 0.2500 0.2500 0.2500
Cu 0.7500 0.7500 0.7500
B 0.5000 0.5000 0.5000
CELL_PARAMETERS angstrom
0.0000 3.2530 3.2530
3.2530 0.0000 3.2530
3.2530 3.2530 0.0000


! PBE Hf31PdO64, optimized geometry; values from VASP
! Electronic total energy = -961.2 eV/f.u.
&SYSTEM
  ibrav = 0, nat = 96, ntyp = 3
/
ATOMIC_SPECIES
Hf 178.49 Hf.upf
Pd 106.42 Pd.upf
O 16.00 O.upf
ATOMIC_POSITIONS crystal
Hf 0.0000 0.0000 0.0000
Hf 0.0001 0.0011 0.5017
Hf 0.0001 0.2925 0.2523
Hf 0.0003 0.5002 0.0001
Hf 0.0002 0.5053 0.5017
Hf 0.0002 0.7920 0.2507
Hf 0.0021 0.2956 0.7497
Hf 0.0025 0.7895 0.7472
Hf 0.2192 0.7455 0.5429
Hf 0.2219 0.7522 0.0409
Hf 0.2225 0.0410 0.2947
Hf 0.2233 0.0433 0.7931
Hf 0.2238 0.2530 0.5436
Hf 0.2248 0.5409 0.2911
Hf 0.2261 0.2475 0.0458
Hf 0.4952 0.7873 0.7538
Hf 0.4972 0.9974 0.5035
Hf 0.4995 0.5004 0.5014
Hf 0.4996 0.7917 0.2517
Hf 0.5007 0.9993 0.0012
Hf 0.5017 0.2908 0.2528
Hf 0.5029 0.2884 0.7493
Hf 0.5070 0.4969 0.0043
Hf 0.7219 0.7510 0.5444
Hf 0.7234 0.0414 0.2943
Hf 0.7239 0.5421 0.2943
Hf 0.7242 0.5420 0.7927
Hf 0.7240 0.7501 0.0433
Hf 0.7253 0.0397 0.7923
Hf 0.7252 0.2478 0.0433
Hf 0.7249 0.2503 0.5433
Pd 0.2373 0.5303 0.8155
O 0.0669 0.6593 0.6179
O 0.0848 0.6435 0.1321
O 0.0858 0.1413 0.1379
O 0.0856 0.1473 0.6367
O 0.0858 0.1498 0.3869
O 0.0859 0.1515 0.8875
O 0.0867 0.6474 0.3798
O 0.0889 0.6444 0.8811
O 0.1362 0.8910 0.4076
O 0.1371 0.8915 0.9065
O 0.1379 0.3924 0.4083
O 0.1376 0.9045 0.6567
O 0.1385 0.3990 0.1570
O 0.1386 0.4121 0.6602
O 0.1393 0.8990 0.1568
O 0.1444 0.3905 0.9080
O 0.3199 0.6782 0.7260
O 0.3264 0.1056 0.4760
O 0.3284 0.1050 0.9746
O 0.3279 0.1877 0.7249
O 0.3275 0.6056 0.4718
O 0.3284 0.6834 0.2193
O 0.3293 0.1837 0.2251
O 0.3335 0.6081 0.9757
O 0.3926 0.8530 0.5758
O 0.3933 0.9325 0.3237
O 0.3941 0.9348 0.8216
O 0.3963 0.4342 0.3209
O 0.3956 0.8564 0.0714
O 0.3971 0.3560 0.0718
O 0.3979 0.3545 0.5706
O 0.4061 0.4365 0.8215
O 0.5835 0.6499 0.3867
O 0.5838 0.6415 0.6380
O 0.5850 0.1485 0.3879
O 0.5857 0.1415 0.1372
O 0.5859 0.1412 0.6366
O 0.5856 0.6415 0.1374
O 0.5866 0.1477 0.8865
O 0.5873 0.6477 0.8884
O 0.6343 0.8978 0.6593
O 0.6363 0.8928 0.4087
O 0.6367 0.8904 0.9079
O 0.6383 0.3920 0.4078
O 0.6383 0.8987 0.1583
O 0.6397 0.3904 0.9080
O 0.6405 0.3993 0.6575
O 0.6405 0.3982 0.1581
O 0.8239 0.6062 0.4734
O 0.8269 0.6863 0.7238
O 0.8279 0.1043 0.9737
O 0.8282 0.1851 0.2236
O 0.8277 0.6862 0.2237
O 0.8289 0.1084 0.4725
O 0.8288 0.1861 0.7235
O 0.8293 0.6061 0.9741
O 0.8898 0.8629 0.5721
O 0.8954 0.9354 0.3211
O 0.8964 0.4353 0.8217
O 0.8956 0.4368 0.3197
O 0.8960 0.8564 0.0707
O 0.8963 0.9348 0.8205
O 0.8971 0.3548 0.0700
O 0.8980 0.3571 0.5703
CELL_PARAMETERS angstrom
10.1990 0.0000 0.0000
-0.0530 10.2941 0.0000
-1.7249 -0.0092 10.4218


Copy entry 1 word for word.
! PBE YCdCuB, optimized geometry; values from VASP
! Electronic total energy = -15.5 eV/f.u.
&SYSTEM
  ibrav = 0, nat = 4, ntyp = 4
/
ATOMIC_SPECIES
Y 88.91 Y.upf
Cd 112.41 Cd.upf
Cu 63.55 Cu.upf
B 10.81 B.upf
ATOMIC_POSITIONS crystal
Y 0.0000 0.0000 0.0000
Cd 0.2500 0.2500 0.2500
Cu 0.7500 0.7500 0.7500
B 0.5000 0.5000 0.5000
CELL_PARAMETERS angstrom
0.0000 3.2530 3.2530
3.2530 0.0000 3.2530
3.2530 3.2530 0.0000


Question: What is the electronic total energy in the first record?
Answer: -15.5 eV/f.u.


Question: The highest electronic total energy belongs to which entry?
Answer: YCdCuB


Question: Look up the electronic total energy of the second one.
Answer: -961.2 eV/f.u.